LuP | Alexandria | PBEsol | relaxed; DFT formation energy = -312 kJ/mol of formula units; DFT total energy = -6.95 eV/atom
1.0
0.0000 2.7320 2.7320
2.7320 0.0000 2.7320
2.7320 2.7320 0.0000
Lu P
1 1
direct
0.0000 0.0000 0.0000
0.5000 0.5000 0.5000

LuP5 | Alexandria | PBEsol | relaxed; DFT formation energy = -305 kJ/mol of formula units; DFT total energy = -6.16 eV/atom
1.0
4.8113 0.0000 0.0000
0.0000 9.2212 0.0000
-1.1767 0.0000 5.0864
Lu P
2 10
direct
0.0057 0.2500 0.3487
0.9943 0.7500 0.6513
0.2618 0.2500 0.8923
0.2780 0.5299 0.4058
0.2780 0.9701 0.4058
0.3807 0.5945 0.0389
0.3807 0.9055 0.0389
0.6193 0.0945 0.9611
0.6193 0.4055 0.9611
0.7220 0.0299 0.5942
0.7220 0.4701 0.5942
0.7382 0.7500 0.1077

Lu3P6Pd20 | Alexandria | PBEsol | relaxed; DFT formation energy = -2203 kJ/mol of formula units; DFT total energy = -6.60 eV/atom
1.0
0.0000 6.0133 6.0133
6.0133 0.0000 6.0133
6.0133 6.0133 0.0000
Lu P Pd
3 6 20
direct
0.0000 0.0000 0.0000
0.2500 0.2500 0.2500
0.7500 0.7500 0.7500
0.2635 0.2635 0.7365
0.2635 0.7365 0.2635
0.2635 0.7365 0.7365
0.7365 0.2635 0.2635
0.7365 0.2635 0.7365
0.7365 0.7365 0.2635
0.0000 0.0000 0.3451
0.0000 0.0000 0.6549
0.0000 0.3451 0.0000
0.0000 0.3451 0.6549
0.0000 0.6549 0.0000
0.0000 0.6549 0.3451
0.1506 0.6165 0.6165
0.3451 0.0000 0.0000
0.3451 0.0000 0.6549
0.3451 0.6549 0.0000
0.3835 0.3835 0.3835
0.3835 0.3835 0.8494
0.3835 0.8494 0.3835
0.6165 0.1506 0.6165
0.6165 0.6165 0.1506
0.6165 0.6165 0.6165
0.6549 0.0000 0.0000
0.6549 0.0000 0.3451
0.6549 0.3451 0.0000
0.8494 0.3835 0.3835

LuPS4 | Alexandria | PBEsol | relaxed; formation energy (no corrections) = -1.04 eV/atom; DFT total energy = -5.74 eV/atom
1.0
8.2289 0.0000 0.0000
0.0000 6.3612 0.0000
-6.4614 0.0000 10.4812
Lu P S
4 4 16
direct
0.0574 0.1784 0.1654
0.0574 0.3216 0.6654
0.9426 0.6784 0.3346
0.9426 0.8216 0.8346
0.1967 0.2295 0.4645
0.1967 0.2705 0.9645
0.8033 0.7295 0.0355
0.8033 0.7705 0.5355
0.0860 0.7324 0.5900
0.0860 0.7676 0.0900
0.2312 0.5443 0.8891
0.2312 0.9557 0.3891
0.2492 0.0472 0.8660
0.2492 0.4528 0.3660
0.3653 0.2485 0.6545
0.3653 0.2515 0.1545
0.6347 0.7485 0.8455
0.6347 0.7515 0.3455
0.7508 0.5472 0.6340
0.7508 0.9528 0.1340
0.7688 0.0443 0.6109
0.7688 0.4557 0.1109
0.9140 0.2324 0.9100
0.9140 0.2676 0.4100

Lu2Pd2Pb | Alexandria | PBEsol | relaxed; DFT formation energy = -417 kJ/mol of formula units; DFT total energy = -6.00 eV/atom
1.0
7.6701 0.0000 0.0000
0.0000 7.6701 0.0000
0.0000 0.0000 3.4994
Lu Pd Pb
4 4 2
direct
0.1689 0.3311 0.0000
0.3311 0.8311 0.0000
0.6689 0.1689 0.0000
0.8311 0.6689 0.0000
0.1268 0.6268 0.5000
0.3732 0.1268 0.5000
0.6268 0.8732 0.5000
0.8732 0.3732 0.5000
0.0000 0.0000 0.5000
0.5000 0.5000 0.5000

LuPd2Pb | Alexandria | PBEsol | relaxed; DFT formation energy = -279 kJ/mol of formula units; DFT total energy = -5.92 eV/atom
1.0
0.0000 3.3452 3.3452
3.3452 0.0000 3.3452
3.3452 3.3452 0.0000
Lu Pd Pb
1 2 1
direct
0.0000 0.0000 0.0000
0.2500 0.2500 0.2500
0.7500 0.7500 0.7500
0.5000 0.5000 0.5000

Lu2PbS4 | Alexandria | PBEsol | relaxed; formation energy (no corrections) = -1.66 eV/atom; DFT total energy = -6.13 eV/atom
1.0
11.8140 0.0000 0.0000
0.0000 3.8461 0.0000
0.0000 0.0000 13.9129
Lu Pb S
8 4 16
direct
0.0600 0.2500 0.1130
0.0855 0.2500 0.5962
0.4145 0.7500 0.0962
0.4400 0.7500 0.6130
0.5600 0.2500 0.3870
0.5855 0.2500 0.9038
0.9145 0.7500 0.4038
0.9400 0.7500 0.8870
0.2463 0.2500 0.3322
0.2537 0.7500 0.8322
0.7463 0.2500 0.1678
0.7537 0.7500 0.6678
0.0349 0.7500 0.7163
0.0893 0.2500 0.9259
0.1257 0.7500 0.4683
0.2033 0.7500 0.1664
0.2967 0.2500 0.6664
0.3743 0.2500 0.9683
0.4107 0.7500 0.4259
0.4651 0.2500 0.2163
0.5349 0.7500 0.7837
0.5893 0.2500 0.5741
0.6257 0.7500 0.0317
0.7033 0.7500 0.3336
0.7967 0.2500 0.8336
0.8743 0.2500 0.5317
0.9107 0.7500 0.0741
0.9651 0.2500 0.2837

LuPd | Alexandria | PBEsol | relaxed; DFT formation energy = -185 kJ/mol of formula units; DFT total energy = -6.38 eV/atom
1.0
3.3808 0.0000 0.0000
0.0000 3.3808 0.0000
0.0000 0.0000 3.3808
Lu Pd
1 1
direct
0.0000 0.0000 0.0000
0.5000 0.5000 0.5000

Lu2PdRh | Alexandria | PBEsol | relaxed; DFT formation energy = -374 kJ/mol of formula units; DFT total energy = -6.93 eV/atom
1.0
0.0000 3.3368 3.3368
3.3368 0.0000 3.3368
3.3368 3.3368 0.0000
Lu Pd Rh
2 1 1
direct
0.2500 0.2500 0.2500
0.7500 0.7500 0.7500
0.0000 0.0000 0.0000
0.5000 0.5000 0.5000

Lu5SbPd2 | Alexandria | PBEsol | relaxed; formation energy (no corrections) = -0.81 eV/atom; DFT total energy = -5.91 eV/atom
1.0
-3.7318 3.7318 6.6113
3.7318 -3.7318 6.6113
3.7318 3.7318 -6.6113
Lu Sb Pd
10 2 4
direct
0.0000 0.0000 0.0000
0.0131 0.5131 0.8118
0.2013 0.0131 0.5000
0.2987 0.7987 0.8118
0.4869 0.2987 0.5000
0.5000 0.5000 0.0000
0.5131 0.7013 0.5000
0.7013 0.2013 0.1882
0.7987 0.9869 0.5000
0.9869 0.4869 0.1882
0.2500 0.2500 0.0000
0.7500 0.7500 0.0000
0.1369 0.3631 0.5000
0.3631 0.8631 0.2262
0.6369 0.1369 0.7738
0.8631 0.6369 0.5000

LuScPd2 | Alexandria | PBEsol | relaxed; DFT formation energy = -355 kJ/mol of formula units; DFT total energy = -6.77 eV/atom
1.0
0.0000 3.3239 3.3239
3.3239 0.0000 3.3239
3.3239 3.3239 0.0000
Lu Sc Pd
1 1 2
direct
0.0000 0.0000 0.0000
0.5000 0.5000 0.5000
0.2500 0.2500 0.2500
0.7500 0.7500 0.7500

LuSiPd2 | Alexandria | PBEsol | relaxed; formation energy (no corrections) = -1.05 eV/atom; DFT total energy = -6.68 eV/atom
1.0
7.0951 0.0000 0.0000
0.0000 6.9005 0.0000
0.0000 0.0000 5.3844
Lu Si Pd
4 4 8
direct
0.0260 0.2500 0.1391
0.4740 0.7500 0.6391
0.5260 0.2500 0.3609
0.9740 0.7500 0.8609
0.1200 0.7500 0.3616
0.3800 0.2500 0.8616
0.6200 0.7500 0.1384
0.8800 0.2500 0.6384
0.1803 0.0514 0.5932
0.1803 0.4486 0.5932
0.3197 0.5514 0.0932
0.3197 0.9486 0.0932
0.6803 0.0514 0.9068
0.6803 0.4486 0.9068
0.8197 0.5514 0.4068
0.8197 0.9486 0.4068